[1]
## CrHg3Cl (GGA-PBE)

Data for crystalline CrHg3Cl at its relaxed geometry.

a b c (Å): 5.8125 5.8125 5.8125
angles (deg): 90.00 90.00 90.00
Space group Pm-3m (No. 221)
One atom of each set of equivalent atoms:
Cr (0.0000, 0.0000, 0.0000) x1
Hg (0.0000, 0.5000, 0.5000) x3
Cl (0.5000, 0.5000, 0.5000) x1

Properties
Its energy above the lowest structure with this stoichiometry is 570 meV/atom. The calculated density is 5.828 g cm⁻³. The value obtained for the raw formation energy is 747 meV/atom.

***

[2]
## Tb4Nd5Tm (GGA-PBE)

Data for crystalline Tb4Nd5Tm at its relaxed geometry.

a b c (Å): 18.2818 3.6096 10.4981
angles (deg): 90.00 96.01 90.00
Space group C2/m (No. 12)
One atom of each set of equivalent atoms:
Tb (0.0451, 0.0000, 0.2635) x4
Tb (0.1822, 0.5000, 0.4136) x4
Nd (0.0000, 0.5000, 0.0000) x2
Nd (0.1416, 0.0000, 0.7292) x4
Nd (0.1897, 0.0000, 0.0982) x4
Tm (0.0000, 0.5000, 0.5000) x2

Properties
Its formation energy from the elements is 0.142 eV per atom. Its energy above the lowest structure with this stoichiometry is 84 meV/atom. The calculated density is 7.355 g cm⁻³.

***

[3]
## AlHg2As (GGA-PBE)

Data for crystalline AlHg2As at its relaxed geometry.

a b c (Å): 5.7406 10.7303 4.0506
angles (deg): 90.00 134.66 90.00
Space group C2/m (No. 12)
One atom of each set of equivalent atoms:
Al (0.0000, 0.0000, 0.0000) x2
Hg (0.2500, 0.2500, 0.5000) x4
As (0.0000, 0.5000, 0.0000) x2

Properties
Its formation energy from the elements is 0.167 eV per atom. Its energy above the lowest structure with this stoichiometry is 198 meV/atom. The calculated density is 9.415 g cm⁻³.

***

[4]
## LiB2C2 (GGA-PBE)

Data for crystalline LiB2C2 at its relaxed geometry.

a b c (Å): 7.4440 2.7193 9.3255
angles (deg): 90.00 91.12 90.00
Space group P2/m (No. 10)
One atom of each set of equivalent atoms:
Li (0.0000, 0.0000, 0.0000) x1
Li (0.0103, 0.5000, 0.7230) x2
Li (0.5000, 0.0000, 0.5000) x1
B (0.2301, 0.0000, 0.1747) x2
B (0.2369, 0.5000, 0.9234) x2
B (0.2459, 0.5000, 0.4255) x2
B (0.2682, 0.0000, 0.6752) x2
C (0.2210, 0.5000, 0.0926) x2
C (0.2353, 0.0000, 0.3437) x2
C (0.2394, 0.0000, 0.8422) x2
C (0.2709, 0.5000, 0.5935) x2

Properties
Its formation energy from the elements is -0.020 eV per atom. Its energy above the lowest structure with this stoichiometry is 49 meV/atom. The calculated density is 1.851 g cm⁻³.

***

[5]
## BaMgTcP (GGA-PBE)

Data for crystalline BaMgTcP at its relaxed geometry.

a b c (Å): 4.1083 4.1083 12.7343
angles (deg): 90.00 90.00 90.00
Space group P4/nmm (No. 129, origin choice 2)
One atom of each set of equivalent atoms:
Ba (0.2500, 0.2500, 0.2286) x2
Mg (0.2500, 0.7500, 0.5000) x2
Tc (0.2500, 0.7500, 0.0000) x2
P (0.2500, 0.2500, 0.9035) x2

Properties
Its formation energy from the elements is -0.455 eV per atom. The calculated density is 4.490 g cm⁻³.

***

[6]
## PrSm2Er3Bi6 (GGA-PBE)

Data for crystalline PrSm2Er3Bi6 at its relaxed geometry.

a b c (Å): 19.6757 4.5197 9.0297
angles (deg): 90.00 103.11 90.00
Space group C2/m (No. 12)
One atom of each set of equivalent atoms:
Pr (0.0000, 0.0000, 0.0000) x2
Sm (0.1672, 0.5000, 0.3335) x4
Er (0.0000, 0.0000, 0.5000) x2
Er (0.1659, 0.5000, 0.8326) x4
Bi (0.0012, 0.5000, 0.7418) x4
Bi (0.1648, 0.0000, 0.5873) x4
Bi (0.1699, 0.0000, 0.0797) x4

Properties
Its formation energy from the elements is -0.872 eV per atom. The calculated density is 9.331 g cm⁻³.

***

[7]
## YMoC2Se (GGA-PBE)

Data for crystalline YMoC2Se at its relaxed geometry.

a b c (Å): 4.2289 4.2289 5.7404
angles (deg): 90.00 90.00 90.00
Space group P4/mmm (No. 123)
One atom of each set of equivalent atoms:
Y (0.0000, 0.0000, 0.0000) x1
Mo (0.0000, 0.0000, 0.5000) x1
C (0.0000, 0.5000, 0.0000) x2
Se (0.5000, 0.5000, 0.5000) x1

Properties
The calculated density is 4.656 g cm⁻³. The value obtained for the raw formation energy is 2626 meV/atom.

***

[8]
## Al2NiSe (GGA-PBE)

Data for crystalline Al2NiSe at its relaxed geometry.

a b c (Å): 6.3879 6.3879 6.3879
angles (deg): 90.00 90.00 90.00
Space group F-43m (No. 216)
One atom of each set of equivalent atoms:
Al (0.0000, 0.0000, 0.0000) x4
Al (0.2500, 0.2500, 0.2500) x4
Ni (0.0000, 0.0000, 0.5000) x4
Se (0.2500, 0.2500, 0.7500) x4

Properties
The calculated density is 4.883 g cm⁻³. The value obtained for the raw formation energy is 188 meV/atom.

***

calculated density of number 5 (BaMgTcP)?
4.490 g cm⁻³